Material: YBrO3
Method: DFT, PBE
State: optimized geometry

Cell lengths 4.384, 4.384, 4.384 Å; angles 90.00, 90.00, 90.00 degrees
Space group Pm-3m (No. 221)
Symmetry-distinct sites (fractional):
Y  0.000  0.000  0.000 (multiplicity 1)
Br  0.500  0.500  0.500 (multiplicity 1)
O  0.000  0.000  0.500 (multiplicity 3)

Computed properties:
**Calculated total energy**: -5.335 eV/atom
**ΔE_f (raw)**: -0.733 eV/atom


Material: BaNbTeN2
Method: DFT, PBE
State: optimized geometry

Cell lengths 4.343, 4.343, 6.680 Å; angles 90.00, 90.00, 90.00 degrees
Space group P4/mmm (No. 123)
Symmetry-distinct sites (fractional):
Ba  0.000  0.000  0.000 (multiplicity 1)
Nb  0.500  0.500  0.500 (multiplicity 1)
Te  0.000  0.000  0.500 (multiplicity 1)
N  0.000  0.500  0.000 (multiplicity 2)

Computed properties:
**Calculated total energy**: -4.369 eV/atom
**ΔE_f (raw)**: 1.988 eV/atom


Material: Pm6GaSn12
Method: DFT, PBE
State: optimized geometry

Cell lengths 12.9229, 12.9229, 13.1603 Å; angles 90.00, 90.00, 120.00 degrees
Space group R-3 (No. 148, hexagonal axes)
Symmetry-distinct sites (fractional):
Pm  0.0345  0.8173  0.1991 (multiplicity 18)
Ga  0.0000  0.0000  0.5000 (multiplicity 3)
Sn  0.0322  0.8082  0.4420 (multiplicity 18)
Sn  0.0362  0.8180  0.9454 (multiplicity 18)

Computed properties:
**E_form**: -0.215 eV per atom
**Calculated total energy**: -4.402 eV/atom


Material: Sm6Ge2Te3Pt
Method: DFT, PBE
State: optimized geometry

Cell lengths 19.131, 4.302, 8.815 Å; angles 90.00, 105.39, 90.00 degrees
Space group C2/m (No. 12)
Symmetry-distinct sites (fractional):
Sm  0.006  0.000  0.234 (multiplicity 4)
Sm  0.161  0.500  0.099 (multiplicity 4)
Sm  0.173  0.500  0.568 (multiplicity 4)
Ge  0.166  0.000  0.332 (multiplicity 4)
Te  0.000  0.500  0.500 (multiplicity 2)
Te  0.168  0.000  0.833 (multiplicity 4)
Pt  0.000  0.500  0.000 (multiplicity 2)

Computed properties:
**Calculated total energy**: -5.625 eV/atom
**ΔE_f (raw)**: -1.207 eV/atom


Material: Ga2TcPO
Method: DFT, PBE
State: optimized geometry

Cell lengths 5.018, 5.018, 3.691 Å; angles 90.00, 90.00, 90.00 degrees
Space group P4/mmm (No. 123)
Symmetry-distinct sites (fractional):
Ga  0.000  0.500  0.000 (multiplicity 2)
Tc  0.000  0.000  0.000 (multiplicity 1)
P  0.500  0.500  0.500 (multiplicity 1)
O  0.000  0.000  0.500 (multiplicity 1)

Computed properties:
**Calculated total energy**: -5.275 eV/atom
**ΔE_f (raw)**: 0.083 eV/atom


Material: PrYHo2
Method: DFT, PBE
State: optimized geometry

Cell lengths 3.5879, 3.5879, 35.0103 Å; angles 90.00, 90.00, 120.00 degrees
Space group R-3m (No. 166, hexagonal axes)
Symmetry-distinct sites (fractional):
Pr  0.0000  0.0000  0.0000 (multiplicity 3)
Y  0.0000  0.0000  0.5000 (multiplicity 3)
Ho  0.0000  0.0000  0.2488 (multiplicity 6)

Computed properties:
**E_form**: 0.023 eV per atom
**Calculated total energy**: -5.077 eV/atom


Material: BaSrRh2
Method: DFT, PBE
State: optimized geometry

Cell lengths 4.627, 5.857, 8.719 Å; angles 90.00, 90.00, 90.00 degrees
Space group Pmc2_1 (No. 26)
Symmetry-distinct sites (fractional):
Ba  0.000  0.164  0.000 (multiplicity 2)
Sr  0.500  0.338  0.357 (multiplicity 2)
Rh  0.000  0.327  0.655 (multiplicity 2)
Rh  0.500  0.195  0.697 (multiplicity 2)

Computed properties:
**E_form**: -0.184 eV per atom
**Calculated total energy**: -4.761 eV/atom


Material: CaTbY2As4
Method: DFT, PBE
State: optimized geometry

Cell lengths 7.206, 4.143, 7.213 Å; angles 90.00, 109.29, 90.00 degrees
Space group P2/m (No. 10)
Symmetry-distinct sites (fractional):
Ca  0.000  0.000  0.000 (multiplicity 1)
Tb  0.500  0.500  0.000 (multiplicity 1)
Y  0.000  0.500  0.500 (multiplicity 1)
Y  0.500  0.000  0.500 (multiplicity 1)
As  0.252  0.000  0.747 (multiplicity 2)
As  0.256  0.500  0.257 (multiplicity 2)

Computed properties:
**E_form**: -1.383 eV per atom
**Calculated total energy**: -6.152 eV/atom


Material: CoP2Rh
Method: DFT, PBE
State: optimized geometry

Cell lengths 4.062, 4.062, 3.040 Å; angles 90.00, 90.00, 90.00 degrees
Space group P4/mmm (No. 123)
Symmetry-distinct sites (fractional):
Co  0.000  0.000  0.000 (multiplicity 1)
P  0.000  0.500  0.500 (multiplicity 2)
Rh  0.500  0.500  0.000 (multiplicity 1)

Computed properties:
**E_form**: -0.075 eV per atom
**Calculated total energy**: -6.394 eV/atom


Material: SrSi2H
Method: DFT, PBE
State: optimized geometry

Cell lengths 8.303, 8.303, 8.303 Å; angles 90.00, 90.00, 90.00 degrees
Space group Fd-3m (No. 227, origin choice 2)
Symmetry-distinct sites (fractional):
Sr  0.125  0.125  0.125 (multiplicity 8)
Si  0.000  0.000  0.500 (multiplicity 16)
H  0.125  0.125  0.625 (multiplicity 8)

Computed properties:
**Calculated total energy**: -3.786 eV/atom


Material: HoErMn
Method: DFT, PBE
State: optimized geometry

Cell lengths 3.453, 3.453, 12.555 Å; angles 90.00, 90.00, 90.00 degrees
Space group I4mm (No. 107)
Symmetry-distinct sites (fractional):
Ho  0.000  0.000  0.000 (multiplicity 2)
Er  0.000  0.000  0.727 (multiplicity 2)
Mn  0.000  0.000  0.363 (multiplicity 2)

Computed properties:
**E_form**: 0.131 eV per atom
**Calculated total energy**: -5.972 eV/atom


Material: CsTlTcNi2
Method: DFT, PBE
State: optimized geometry

Cell lengths 4.739, 4.739, 5.672 Å; angles 90.00, 90.00, 90.00 degrees
Space group P4/mmm (No. 123)
Symmetry-distinct sites (fractional):
Cs  0.000  0.000  0.000 (multiplicity 1)
Tl  0.500  0.500  0.000 (multiplicity 1)
Tc  0.000  0.000  0.500 (multiplicity 1)
Ni  0.000  0.500  0.500 (multiplicity 2)

Computed properties:
**E_form**: 1.285 eV per atom
**Calculated total energy**: -3.745 eV/atom